Record 1
Compound: PuMnGaCo
Source: the Alexandria database
Functional: PBE
Structure: relaxed

Calculated values
As for the space group: F-43m. Its energy relative to the elements is -135.5 meV per atom.

POSCAR file:
```
PuMnGaCo
1.0
4.427 0.000 0.000
2.213 3.834 0.000
2.213 1.278 3.615
Mn Pu Ga Co
1 1 1 1
Direct
0.250 0.250 0.250
0.500 0.500 0.500
0.000 0.000 0.000
0.750 0.750 0.750
```


Record 2
Compound: Tm2Tl2IO6
Source: the Alexandria database
Functional: PBE
Structure: relaxed

Calculated values
As for the space group: C2/m. For the uncorrected formation energy, the calculation gives -1.702 eV/atom.

POSCAR file:
```
Tm2Tl2IO6
1.0
-1.001 5.490 -2.406
0.680 -4.924 -3.497
-6.317 -1.241 2.110
Tl O Tm I
2 6 2 1
Direct
0.835 0.165 0.000
0.165 0.835 0.000
0.600 0.956 0.330
0.956 0.600 0.330
0.728 0.728 0.648
0.400 0.044 0.670
0.272 0.272 0.352
0.044 0.400 0.670
0.667 0.333 0.500
0.333 0.667 0.500
0.000 0.000 0.500
```


Record 3
Compound: FeRe2NiRh
Source: the Alexandria database
Functional: PBE
Structure: relaxed

Calculated values
As for the space group: P4/mmm. Its energy relative to the elements is 1518.4 meV per atom.

POSCAR file:
```
FeRe2NiRh
1.0
4.389 0.000 0.000
0.000 4.200 0.000
0.000 0.000 4.389
Re Fe Ni Rh
2 1 1 1
Direct
0.000 0.000 0.500
0.500 0.000 0.000
0.000 0.500 0.000
0.000 0.000 0.000
0.500 0.500 0.500
```


Record 4
Compound: LiGa3Ni3
Source: the Alexandria database
Functional: PBE
Structure: relaxed

Calculated values
As for the space group: Cmmm. Its energy relative to the elements is -247.2 meV per atom. As for the energy relative to the lowest polymorph listed for this composition: 27 meV/atom.

POSCAR file:
```
LiGa3Ni3
1.0
5.851 -0.158 -0.001
-0.144 5.851 -0.001
0.001 0.001 5.527
Ga Li Ni
6 2 6
Direct
0.500 0.000 0.251
0.000 0.500 0.251
0.000 0.500 0.749
0.000 0.000 0.740
0.500 0.000 0.749
0.000 0.000 0.260
0.337 0.337 0.000
0.663 0.663 0.000
0.266 0.266 0.500
0.732 0.268 0.500
0.734 0.734 0.500
0.268 0.732 0.500
0.229 0.771 0.000
0.771 0.229 0.000
```


Record 5
Compound: Nd3Ni7Rh2
Source: the Alexandria database
Functional: PBE
Structure: relaxed

Calculated values
As for the space group: R-3m. Its energy relative to the elements is -326.6 meV per atom.

POSCAR file:
```
Nd3Ni7Rh2
1.0
-3.848 -0.158 3.351
-4.808 -0.458 -1.654
-2.214 -8.613 0.941
Nd Rh Ni
3 2 7
Direct
0.139 0.139 0.583
0.000 0.000 0.000
0.861 0.861 0.417
0.668 0.668 0.995
0.332 0.332 0.005
0.500 0.500 0.500
0.417 0.417 0.251
0.583 0.085 0.749
0.583 0.583 0.749
0.417 0.915 0.251
0.085 0.583 0.749
0.915 0.417 0.251
```


Record 6
Compound: Cu2AgPb
Source: the Alexandria database
Functional: PBE
Structure: relaxed

Calculated values
As for the space group: Imm2. Its energy relative to the elements is 230.5 meV per atom.

POSCAR file:
```
Cu2AgPb
1.0
5.259 -0.091 -0.091
2.255 4.753 0.091
-3.431 -2.856 2.784
Cu Pb Ag
2 1 1
Direct
0.979 0.979 0.000
0.773 0.273 0.500
0.510 0.510 0.000
0.238 0.738 0.500
```


Record 7
Compound: CePm2SmTl4
Source: the Alexandria database
Functional: PBE
Structure: relaxed

Calculated values
As for the space group: R-3m. Its energy relative to the elements is -335.3 meV per atom.

POSCAR file:
```
CePm2SmTl4
1.0
-3.934 1.781 3.391
-4.846 -2.574 0.175
0.185 -5.684 7.645
Tl Pm Sm Ce
4 2 1 1
Direct
0.875 0.875 0.374
0.375 0.375 0.876
0.125 0.125 0.626
0.625 0.625 0.124
0.250 0.250 0.249
0.750 0.750 0.751
0.000 0.000 0.000
0.500 0.500 0.500
```


Record 8
Compound: NaLaIn3
Source: the Alexandria database
Functional: PBE
Structure: relaxed

Calculated values
As for the space group: Pm-3m. Its energy relative to the elements is 454.1 meV per atom. As for the energy relative to the lowest polymorph listed for this composition: 794 meV/atom.

POSCAR file:
```
NaLaIn3
1.0
-4.059 -4.595 0.255
1.264 -0.786 5.953
-4.425 3.990 1.466
Na In La
1 3 1
Direct
0.500 0.500 0.500
0.500 0.000 0.000
0.000 0.000 0.500
0.000 0.500 0.000
0.000 0.000 0.000
```


Record 9
Compound: MnTe2Os
Source: the Alexandria database
Functional: PBE
Structure: relaxed

Calculated values
As for the space group: R-3m. For the uncorrected formation energy, the calculation gives 0.716 eV/atom. As for the energy relative to the lowest polymorph listed for this composition: 635 meV/atom.

POSCAR file:
```
MnTe2Os
1.0
-3.164 -5.486 6.009
-3.594 -7.260 3.253
-0.665 -7.271 4.785
Os Te Mn
1 2 1
Direct
0.000 0.000 0.000
0.901 0.901 0.901
0.099 0.099 0.099
0.500 0.500 0.500
```


Record 10
Compound: Zn2SbPt
Source: the Alexandria database
Functional: PBE
Structure: relaxed

Calculated values
As for the space group: I-42d. For the uncorrected formation energy, the calculation gives 0.002 eV/atom.

POSCAR file:
```
Zn2SbPt
1.0
-5.212 3.289 -4.361
-5.453 -2.794 4.411
-5.221 2.488 1.582
Pt Sb Zn
2 2 4
Direct
0.750 0.250 0.500
0.000 0.000 0.000
0.250 0.750 0.500
0.500 0.500 0.000
0.656 0.125 0.250
0.375 0.344 0.750
0.094 0.625 0.250
0.875 0.906 0.750
```


Record 11
Compound: CuTePbF
Source: the Alexandria database
Functional: PBE
Structure: relaxed

Calculated values
As for the space group: P4/nmm. For the uncorrected formation energy, the calculation gives -0.955 eV/atom.

POSCAR file:
```
CuTePbF
1.0
4.204 0.000 0.000
0.000 4.204 0.000
0.000 0.000 9.609
F Cu Te Pb
2 2 2 2
Direct
0.000 0.000 0.500
0.500 0.500 0.500
0.500 0.500 0.000
0.000 0.000 0.000
0.500 0.000 0.174
0.000 0.500 0.826
0.500 0.000 0.656
0.000 0.500 0.344
```


Record 12
Compound: Mn3CuB
Source: the Alexandria database
Functional: PBE
Structure: relaxed

Calculated values
As for the space group: Pm-3m. Its energy relative to the elements is 199.4 meV per atom. As for the energy relative to the lowest polymorph listed for this composition: 0 meV/atom.

POSCAR file:
```
Mn3CuB
1.0
3.956 0.000 0.000
0.000 3.956 0.000
0.000 0.000 3.956
Mn B Cu
3 1 1
Direct
0.000 0.000 0.500
0.000 0.500 0.000
0.500 0.000 0.000
0.000 0.000 0.000
0.500 0.500 0.500
```


In the order shown, the computed ρ values come out to 11.6, 7.9, 12.1, 6.9, 9.1, 10.4, 9.9, 3.6, 10.3, 9.5, 8.2, 6.4 g/cm³.